1.
Entry from the Open Quantum Materials Database: a relaxed Gd2Al4CoGe2 crystal (PBE).

Computed properties:
* E_tot: -5.18 eV per atom
* calculated volume: 169 Å³/f.u.

Cell lengths 10.2466, 10.2466, 10.2466 Å; angles 156.66, 156.66, 33.24 degrees
Closest atoms and distances in Å follow each position.
Fractional positions:
Gd: 0.1842 0.1842 0.0000  5 Ge 2.96-3.01, 4 Al 3.12
Gd: 0.8158 0.8158 0.0000  5 Ge 2.96-3.01, 4 Al 3.12
Al: 0.0654 0.5654 0.5000  2 Co 2.44, 1 Al 2.57
Al: 0.4346 0.9346 0.5000  2 Co 2.44, 1 Al 2.57
Al: 0.5654 0.0654 0.5000  2 Co 2.44, 1 Al 2.57
Al: 0.9346 0.4346 0.5000  2 Co 2.44, 1 Al 2.57
Co: 0.0000 0.0000 0.0000  8 Al 2.44
Ge: 0.3376 0.3376 0.0000  4 Al 2.81, 5 Gd 2.96-3.01
Ge: 0.6624 0.6624 0.0000  4 Al 2.81, 5 Gd 2.96-3.01



2.
Entry from the Open Quantum Materials Database: a relaxed MgZnSO crystal (PBE).

Computed properties:
* energy above the lowest structure with this stoichiometry: 738 meV/atom
* calculated volume: 69 Å³/f.u.

Cell lengths 4.6043, 4.6043, 6.4812 Å; angles 90.00, 90.00, 90.00 degrees
Closest atoms and distances in Å follow each position.
Fractional positions:
Mg: 0.2500 0.2500 0.2052  1 O 1.81
Mg: 0.7500 0.7500 0.7948  1 O 1.81
Zn: 0.2500 0.2500 0.6501  1 O 1.79
Zn: 0.7500 0.7500 0.3499  1 O 1.79
S: 0.2500 0.7500 0.5000  4 Zn 2.50
S: 0.7500 0.2500 0.5000  4 Zn 2.50
O: 0.2500 0.2500 0.9266  1 Zn 1.79, 1 Mg 1.81
O: 0.7500 0.7500 0.0734  1 Zn 1.79, 1 Mg 1.81



3.
Entry from the Open Quantum Materials Database: a relaxed CuAg7 crystal (PBE).

Computed properties:
* energy above the lowest structure with this stoichiometry: 13 meV/atom
* calculated volume: 138 Å³/f.u.
* formation energy: 37 meV/atom

Cell lengths 6.4683, 6.4683, 9.6362 Å; angles 127.24, 127.24, 25.83 degrees
Closest atoms and distances in Å follow each position.
Fractional positions:
Cu: 0.0000 0.0000 0.0000  10 Ag 2.83-2.89, 2 Cu 2.89
Ag: 0.1247 0.1247 0.3725  11 Ag 2.87-2.98, 1 Cu 2.89
Ag: 0.2565 0.2565 0.7582  10 Ag 2.81-2.98, 2 Cu 2.84
Ag: 0.3788 0.3788 0.1212  10 Ag 2.81-2.97, 2 Cu 2.83
Ag: 0.5000 0.5000 0.5000  12 Ag 2.89-2.96
Ag: 0.6212 0.6212 0.8788  10 Ag 2.81-2.97, 2 Cu 2.83
Ag: 0.7435 0.7435 0.2418  10 Ag 2.81-2.98, 2 Cu 2.84
Ag: 0.8753 0.8753 0.6275  11 Ag 2.87-2.98, 1 Cu 2.89



4.
Entry from the Open Quantum Materials Database: a relaxed NbCuGeMo crystal (PBE).

Computed properties:
* energy above the lowest structure with this stoichiometry: 0 meV/atom
* calculated volume: 62 Å³/f.u.

Cell lengths 4.4340, 4.4340, 4.4340 Å; angles 60.00, 60.00, 60.00 degrees
Closest atoms and distances in Å follow each position.
Fractional positions:
Nb: 0.0000 0.0000 0.0000  4 Mo 2.72, 4 Cu 2.72
Cu: 0.7500 0.7500 0.7500  4 Ge 2.72, 4 Nb 2.72
Ge: 0.5000 0.5000 0.5000  4 Mo 2.72, 4 Cu 2.72
Mo: 0.2500 0.2500 0.2500  4 Ge 2.72, 4 Nb 2.72



5.
Entry from the Open Quantum Materials Database: a relaxed SmCo2SiGe crystal (PBE).

Computed properties:
* E_tot: -6.49 eV per atom
* calculated volume: 79 Å³/f.u.

Cell lengths 5.7433, 5.7433, 5.7433 Å; angles 139.65, 139.65, 58.38 degrees
Closest atoms and distances in Å follow each position.
Fractional positions:
Sm: 0.0000 0.0000 0.0000  4 Ge 3.08, 4 Si 3.10, 8 Co 3.15-3.24
Co: 0.2560 0.7560 0.5000  2 Si 2.27, 2 Ge 2.36
Co: 0.7560 0.2560 0.5000  2 Si 2.27, 2 Ge 2.36
Si: 0.3671 0.3671 0.0000  4 Co 2.27
Ge: 0.6276 0.6276 0.0000  4 Co 2.36, 1 Si 2.61



6.
Entry from the Open Quantum Materials Database: a relaxed Al8Ni5 crystal (PBE).

Computed properties:
* energy above the lowest structure with this stoichiometry: 0 meV/atom
* calculated volume: 175 Å³/f.u.

Cell lengths 8.5289, 8.5289, 8.5289 Å; angles 34.19, 34.19, 34.19 degrees
Closest atoms and distances in Å follow each position.
Fractional positions:
Al: 0.0837 0.5809 0.5809  5 Ni 2.43-2.62, 4 Al 2.49-2.52
Al: 0.1496 0.1496 0.1496  1 Ni 2.40
Al: 0.4191 0.4191 0.9163  5 Ni 2.43-2.62, 4 Al 2.49-2.52
Al: 0.4191 0.9163 0.4191  5 Ni 2.43-2.62, 4 Al 2.49-2.52
Al: 0.5809 0.0838 0.5809  5 Ni 2.43-2.62, 4 Al 2.49-2.52
Al: 0.5809 0.5809 0.0837  5 Ni 2.43-2.62, 4 Al 2.49-2.52
Al: 0.8504 0.8504 0.8504  1 Ni 2.40
Al: 0.9163 0.4191 0.4191  5 Ni 2.43-2.62, 4 Al 2.49-2.52
Ni: 0.0501 0.0501 0.0501  7 Al 2.40-2.62, 1 Ni 2.41
Ni: 0.3323 0.3323 0.3323  6 Al 2.43-2.46
Ni: 0.5000 0.5000 0.5000  6 Al 2.50
Ni: 0.6677 0.6677 0.6677  6 Al 2.43-2.46
Ni: 0.9499 0.9499 0.9499  7 Al 2.40-2.62, 1 Ni 2.41



7.
Entry from the Open Quantum Materials Database: a relaxed Y3Tm2Lu2Ni2Te2 crystal (PBE).

Computed properties:
* energy above the lowest structure with this stoichiometry: 9 meV/atom
* calculated volume: 283 Å³/f.u.

Cell lengths 9.2903, 9.2903, 9.2903 Å; angles 156.17, 67.13, 118.29 degrees
Closest atoms and distances in Å follow each position.
Fractional positions:
Y: 0.0000 0.0000 0.0000  3 Te 3.16-3.18
Y: 0.2873 0.4190 0.8683  2 Ni 2.81, 1 Te 3.12
Y: 0.5507 0.4190 0.1317  2 Ni 2.81, 1 Te 3.12
Tm: 0.3062 0.6202 0.6860  2 Ni 2.76
Tm: 0.9343 0.6202 0.3140  2 Ni 2.76
Lu: 0.6238 0.2716 0.3522  2 Ni 2.78
Lu: 0.9194 0.2716 0.6478  2 Ni 2.78
Ni: 0.1636 0.9280 0.2356  2 Tm 2.76, 2 Lu 2.78, 2 Y 2.81
Ni: 0.6923 0.9280 0.7644  2 Tm 2.76, 2 Lu 2.78, 2 Y 2.81
Te: 0.2635 0.7635 0.5000  6 Y 3.16-3.17, 2 Tm 3.19
Te: 0.6668 0.6668 0.0000  3 Y 3.12-3.18, 4 Lu 3.15



8.
Entry from the Open Quantum Materials Database: a relaxed PrNd5S6 crystal (PBE).

Computed properties:
* E_tot: -6.47 eV per atom
* calculated volume: 286 Å³/f.u.

Cell lengths 7.0630, 7.0630, 7.0443 Å; angles 99.63, 99.63, 120.16 degrees
Closest atoms and distances in Å follow each position.
Fractional positions:
Pr: 0.0000 0.0000 0.0000  6 S 2.89
Nd: 0.1658 0.8342 0.5000  6 S 2.87-2.88
Nd: 0.3334 0.6666 0.0000  6 S 2.87-2.88
Nd: 0.5000 0.5000 0.5000  6 S 2.87-2.88
Nd: 0.6666 0.3334 0.0000  6 S 2.87-2.88
Nd: 0.8342 0.1658 0.5000  6 S 2.87-2.88
S: 0.0838 0.4190 0.2513  5 Nd 2.87-2.88, 1 Pr 2.89
S: 0.2517 0.2517 0.7495  5 Nd 2.87, 1 Pr 2.89
S: 0.4190 0.0838 0.2513  5 Nd 2.87-2.88, 1 Pr 2.89
S: 0.5810 0.9162 0.7487  5 Nd 2.87-2.88, 1 Pr 2.89
S: 0.7483 0.7483 0.2505  5 Nd 2.87, 1 Pr 2.89
S: 0.9162 0.5810 0.7487  5 Nd 2.87-2.88, 1 Pr 2.89



Copy entry 8 word for word.
Entry from the Open Quantum Materials Database: a relaxed PrNd5S6 crystal (PBE).

Computed properties:
* E_tot: -6.47 eV per atom
* calculated volume: 286 Å³/f.u.

Cell lengths 7.0630, 7.0630, 7.0443 Å; angles 99.63, 99.63, 120.16 degrees
Closest atoms and distances in Å follow each position.
Fractional positions:
Pr: 0.0000 0.0000 0.0000  6 S 2.89
Nd: 0.1658 0.8342 0.5000  6 S 2.87-2.88
Nd: 0.3334 0.6666 0.0000  6 S 2.87-2.88
Nd: 0.5000 0.5000 0.5000  6 S 2.87-2.88
Nd: 0.6666 0.3334 0.0000  6 S 2.87-2.88
Nd: 0.8342 0.1658 0.5000  6 S 2.87-2.88
S: 0.0838 0.4190 0.2513  5 Nd 2.87-2.88, 1 Pr 2.89
S: 0.2517 0.2517 0.7495  5 Nd 2.87, 1 Pr 2.89
S: 0.4190 0.0838 0.2513  5 Nd 2.87-2.88, 1 Pr 2.89
S: 0.5810 0.9162 0.7487  5 Nd 2.87-2.88, 1 Pr 2.89
S: 0.7483 0.7483 0.2505  5 Nd 2.87, 1 Pr 2.89
S: 0.9162 0.5810 0.7487  5 Nd 2.87-2.88, 1 Pr 2.89